This record from the Alexandria database describes a relaxed structure of Ti2MnSeI. The functional is PBE-GGA.

POSCAR file:
```
Ti2MnSeI
1.0
5.071 0.000 0.000
0.000 5.071 0.000
0.000 0.000 4.567
Ti Mn Se I
2 1 1 1
Direct
0.000 0.500 0.000
0.500 0.000 0.000
0.000 0.000 0.500
0.500 0.500 0.500
0.000 0.000 0.000
```

Computed properties:
As for the uncorrected formation energy: 1.180 eV/atom.

=====

This record from the Alexandria database describes a relaxed structure of Mn2TlSeI. The functional is PBE-GGA.

POSCAR file:
```
Mn2TlSeI
1.0
5.129 0.000 0.000
0.000 5.129 0.000
0.000 0.000 5.819
Mn Tl Se I
2 1 1 1
Direct
0.000 0.500 0.000
0.500 0.000 0.000
0.000 0.000 0.500
0.500 0.500 0.500
0.500 0.500 0.000
```

Computed properties:
As for the uncorrected formation energy: 0.913 eV/atom.

=====

This record from the Alexandria database describes a relaxed structure of MnVSe2I. The functional is PBE-GGA.

POSCAR file:
```
MnVSe2I
1.0
4.804 0.000 0.000
0.000 4.804 0.000
0.000 0.000 5.746
Mn V Se I
1 1 2 1
Direct
0.000 0.000 0.000
0.500 0.500 0.500
0.000 0.500 0.500
0.500 0.000 0.500
0.500 0.500 0.000
```

Computed properties:
As for the uncorrected formation energy: 0.203 eV/atom.

=====

This record from the Alexandria database describes a relaxed structure of MnV2SeI. The functional is PBE-GGA.

POSCAR file:
```
MnV2SeI
1.0
5.138 0.000 0.000
0.000 5.138 0.000
0.000 0.000 4.920
Mn V Se I
1 2 1 1
Direct
0.000 0.000 0.000
0.000 0.500 0.500
0.500 0.000 0.500
0.500 0.500 0.000
0.000 0.000 0.500
```

Computed properties:
As for the uncorrected formation energy: 1.420 eV/atom.

=====

This record from the Alexandria database describes a relaxed structure of MnSi2I8. The functional is PBE-GGA.

POSCAR file:
```
MnSi2I8
1.0
6.824 -5.898 0.000
6.824 5.898 0.000
-1.275 0.000 6.903
Mn Si I
1 2 8
Direct
0.000 0.000 0.000
0.202 0.202 0.694
0.798 0.798 0.306
0.072 0.735 0.196
0.182 0.182 0.314
0.265 0.928 0.804
0.387 0.387 0.872
0.613 0.613 0.128
0.735 0.072 0.196
0.818 0.818 0.686
0.928 0.265 0.804
```

Computed properties:
As for the uncorrected formation energy: -0.182 eV/atom.

=====

This record from the Alexandria database describes a relaxed structure of MnSi3I. The functional is PBE-GGA.

POSCAR file:
```
MnSi3I
1.0
4.582 0.000 0.000
0.000 4.582 0.000
0.000 0.000 4.582
Mn Si I
1 3 1
Direct
0.000 0.000 0.000
0.000 0.000 0.500
0.000 0.500 0.000
0.500 0.000 0.000
0.500 0.500 0.500
```

Computed properties:
As for the uncorrected formation energy: 0.261 eV/atom.

=====

This record from the Alexandria database describes a relaxed structure of Mn3SiI. The functional is PBE-GGA.

POSCAR file:
```
Mn3SiI
1.0
4.916 0.000 0.000
0.000 4.916 0.000
0.000 0.000 4.916
Mn Si I
3 1 1
Direct
0.000 0.000 0.500
0.000 0.500 0.000
0.500 0.000 0.000
0.000 0.000 0.000
0.500 0.500 0.500
```

Computed properties:
As for the uncorrected formation energy: 0.649 eV/atom.

=====

This record from the Alexandria database describes a relaxed structure of MnSi2I. The functional is PBE-GGA.

POSCAR file:
```
MnSi2I
1.0
0.000 3.235 3.235
3.235 0.000 3.235
3.235 3.235 0.000
Mn Si I
1 2 1
Direct
0.000 0.000 0.000
0.250 0.250 0.250
0.750 0.750 0.750
0.500 0.500 0.500
```

Computed properties:
As for the uncorrected formation energy: 1.317 eV/atom.

=====

This record from the Alexandria database describes a relaxed structure of Mn3SiI. The functional is PBE-GGA.

POSCAR file:
```
Mn3SiI
1.0
4.897 0.000 0.000
0.000 4.897 0.000
0.000 0.000 4.897
Mn Si I
3 1 1
Direct
0.000 0.000 0.500
0.000 0.500 0.000
0.500 0.000 0.000
0.500 0.500 0.500
0.000 0.000 0.000
```

Computed properties:
As for the uncorrected formation energy: 1.568 eV/atom.

=====

This record from the Alexandria database describes a relaxed structure of MnSi2I. The functional is PBE-GGA.

POSCAR file:
```
MnSi2I
1.0
-2.433 2.433 8.170
2.433 -2.433 8.170
2.433 2.433 -8.170
Mn Si I
2 4 2
Direct
0.000 0.000 0.000
0.750 0.250 0.500
0.375 0.131 0.256
0.869 0.125 0.244
0.875 0.119 0.744
0.881 0.625 0.756
0.250 0.750 0.500
0.500 0.500 0.000
```

Computed properties:
As for the uncorrected formation energy: 0.641 eV/atom.

=====

This record from the Alexandria database describes a relaxed structure of MnSiTeI2. The functional is PBE-GGA.

POSCAR file:
```
MnSiTeI2
1.0
5.390 0.000 0.000
0.000 5.390 0.000
0.000 0.000 4.899
Mn Si Te I
1 1 1 2
Direct
0.000 0.000 0.000
0.500 0.500 0.500
0.000 0.000 0.500
0.000 0.500 0.000
0.500 0.000 0.000
```

Computed properties:
As for the uncorrected formation energy: 0.808 eV/atom.

=====

This record from the Alexandria database describes a relaxed structure of MnSiTeI2. The functional is PBE-GGA.

POSCAR file:
```
MnSiTeI2
1.0
5.509 0.000 0.000
0.000 5.509 0.000
0.000 0.000 5.451
Mn Si Te I
1 1 1 2
Direct
0.000 0.000 0.000
0.500 0.500 0.500
0.500 0.500 0.000
0.000 0.500 0.500
0.500 0.000 0.500
```

Computed properties:
As for the uncorrected formation energy: 0.534 eV/atom.

=====

This record from the Alexandria database describes a relaxed structure of MnSi2TeI. The functional is PBE-GGA.

POSCAR file:
```
MnSi2TeI
1.0
5.504 0.000 0.000
0.000 5.504 0.000
0.000 0.000 5.047
Mn Si Te I
1 2 1 1
Direct
0.000 0.000 0.000
0.000 0.500 0.500
0.500 0.000 0.500
0.000 0.000 0.500
0.500 0.500 0.000
```

Computed properties:
As for the uncorrected formation energy: 1.096 eV/atom.

=====

This record from the Alexandria database describes a relaxed structure of ZrMn2SiI. The functional is PBE-GGA.

POSCAR file:
```
ZrMn2SiI
1.0
4.645 0.000 0.000
0.000 4.645 0.000
0.000 0.000 5.212
Zr Mn Si I
1 2 1 1
Direct
0.000 0.000 0.000
0.000 0.500 0.500
0.500 0.000 0.500
0.000 0.000 0.500
0.500 0.500 0.000
```

Computed properties:
As for the uncorrected formation energy: 0.453 eV/atom.